Record 1
Cd2OsW | PBE | relaxed

The structure belongs to space group Pmmm (No. 47); the cell edges are 3.090, 4.580 and 4.925 Å and the angles 90.00°, 90.00° and 90.00°. The asymmetric unit holds Cd at (0.000, 0.000, 0.000), Cd at (0.500, 0.500, 0.000), Os at (0.000, 0.500, 0.500) and W at (0.500, 0.000, 0.500).

For the density, the calculation gives 14.27 Mg/m³. The value obtained for the total energy is -0.2151 Ha/atom. For the density of states at the Fermi level, the calculation gives 2.7 states/eV/cell. For the total moment, the calculation gives 0.00 μB/f.u.

Record 2
ZrCdOs2W | PBE | relaxed

The structure belongs to space group P4/mmm (No. 123); the cell edges are 4.766, 4.766 and 4.795 Å and the angles 90.00°, 90.00° and 90.00°. The asymmetric unit holds Zr at (0.000, 0.000, 0.000), Cd at (0.500, 0.500, 0.500), Os at (0.000, 0.500, 0.500) and W at (0.500, 0.500, 0.000).

For the density, the calculation gives 11.71 Mg/m³. The value obtained for the total energy is -0.2402 Ha/atom. For the density of states at the Fermi level, the calculation gives 7.1 states/eV/cell. For the total moment, the calculation gives 0.00 μB/f.u.

Record 3
YCdOs2 | PBE | relaxed

The structure belongs to space group P4mm (No. 99); the cell edges are 2.962, 2.962 and 8.538 Å and the angles 90.00°, 90.00° and 90.00°. The asymmetric unit holds Y at (0.000, 0.000, 0.000), Cd at (0.500, 0.500, 0.307), Os at (0.000, 0.000, 0.558) and Os at (0.500, 0.500, 0.740).

For the density, the calculation gives 12.90 Mg/m³. The value obtained for the total energy is -0.2692 Ha/atom. For the density of states at the Fermi level, the calculation gives 3.7 states/eV/cell. For the total moment, the calculation gives 0.00 μB/f.u.

Record 4
YCdOs2 | PBE | relaxed

The structure belongs to space group I4/mmm (No. 139); the cell edges are 4.156, 4.156 and 8.548 Å and the angles 90.00°, 90.00° and 90.00°. The asymmetric unit holds Y at (0.000, 0.000, 0.000), Cd at (0.000, 0.000, 0.500) and Os at (0.000, 0.500, 0.250).

For the density, the calculation gives 13.09 Mg/m³. The value obtained for the total energy is -0.2556 Ha/atom. For the density of states at the Fermi level, the calculation gives 12.5 states/eV/cell. For the total moment, the calculation gives 0.00 μB/f.u.

Record 5
YCdOs2 | PBE | relaxed

The structure belongs to space group I-4m2 (No. 119); the cell edges are 4.235, 4.235 and 8.158 Å and the angles 90.00°, 90.00° and 90.00°. The asymmetric unit holds Y at (0.000, 0.000, 0.000), Cd at (0.000, 0.500, 0.750), Os at (0.000, 0.000, 0.500) and Os at (0.000, 0.500, 0.250).

For the density, the calculation gives 13.20 Mg/m³. The value obtained for the total energy is -0.2567 Ha/atom. For the density of states at the Fermi level, the calculation gives 12.4 states/eV/cell. For the total moment, the calculation gives 0.25 μB/f.u.

Record 6
Y3Cd2Os | PBE | relaxed

The structure belongs to space group Cmmm (No. 65); the cell edges are 5.046, 15.051 and 7.610 Å and the angles 90.00°, 90.00° and 90.00°. The asymmetric unit holds Y at (0.000, 0.000, 0.229), Y at (0.000, 0.326, 0.220), Cd at (0.000, 0.166, 0.500), Cd at (0.000, 0.500, 0.000), Cd at (0.000, 0.500, 0.500) and Os at (0.000, 0.162, 0.000).

For the density, the calculation gives 7.84 Mg/m³. The value obtained for the total energy is -0.2103 Ha/atom. For the density of states at the Fermi level, the calculation gives 15.9 states/eV/cell. For the total moment, the calculation gives 0.00 μB/f.u.

Record 7
Y2CdOs | PBE | relaxed

The structure belongs to space group I-4m2 (No. 119); the cell edges are 4.401, 4.401 and 9.127 Å and the angles 90.00°, 90.00° and 90.00°. The asymmetric unit holds Y at (0.000, 0.000, 0.000), Y at (0.000, 0.500, 0.250), Cd at (0.000, 0.500, 0.750) and Os at (0.000, 0.000, 0.500).

For the density, the calculation gives 9.03 Mg/m³. The value obtained for the total energy is -0.2287 Ha/atom. For the density of states at the Fermi level, the calculation gives 7.6 states/eV/cell. For the total moment, the calculation gives 0.00 μB/f.u.

Record 8
Y2CdOs | PBE | relaxed

The structure belongs to space group Pmm2 (No. 25); the cell edges are 3.553, 4.398 and 6.165 Å and the angles 90.00°, 90.00° and 90.00°. The asymmetric unit holds Y at (0.000, 0.000, 0.000), Y at (0.500, 0.500, 0.331), Cd at (0.000, 0.000, 0.537) and Os at (0.500, 0.500, 0.866).

For the density, the calculation gives 8.28 Mg/m³. The value obtained for the total energy is -0.2250 Ha/atom. For the density of states at the Fermi level, the calculation gives 3.5 states/eV/cell. For the total moment, the calculation gives 0.00 μB/f.u.

Record 9
Y2CdOs2 | PBE | relaxed

The structure belongs to space group P4/mbm (No. 127); the cell edges are 7.125, 7.125 and 4.349 Å and the angles 90.00°, 90.00° and 90.00°. The asymmetric unit holds Y at (0.177, 0.323, 0.000), Cd at (0.000, 0.000, 0.500) and Os at (0.118, 0.618, 0.500).

For the density, the calculation gives 10.09 Mg/m³. The value obtained for the total energy is -0.2692 Ha/atom. For the density of states at the Fermi level, the calculation gives 4.9 states/eV/cell. For the total moment, the calculation gives 0.00 μB/f.u.

Record 10
YCdOs2 | PBE | relaxed

The structure belongs to space group C2/m (No. 12); the cell edges are 9.548, 3.030 and 5.338 Å and the angles 90.00°, 101.71° and 90.00°. The asymmetric unit holds Y at (0.000, 0.000, 0.000), Cd at (0.000, 0.500, 0.500) and Os at (0.246, 0.000, 0.700).

For the density, the calculation gives 12.78 Mg/m³. The value obtained for the total energy is -0.2581 Ha/atom. For the density of states at the Fermi level, the calculation gives 8.2 states/eV/cell. For the total moment, the calculation gives 0.00 μB/f.u.

Record 11
Y6CdOs | PBE | relaxed

The structure belongs to space group P-1 (No. 2); the cell edges are 6.882, 6.888 and 7.533 Å and the angles 90.06°, 117.10° and 119.96°. The asymmetric unit holds Y at (0.038, 0.082, 0.257), Y at (0.301, 0.719, 0.257), Y at (0.324, 0.544, 0.743), Cd at (0.500, 0.000, 0.000) and Os at (0.500, 0.500, 0.500).

For the density, the calculation gives 5.28 Mg/m³. The value obtained for the total energy is -0.2327 Ha/atom. For the density of states at the Fermi level, the calculation gives 10.8 states/eV/cell. For the total moment, the calculation gives 0.00 μB/f.u.

Record 12
Y2CdOs | PBE | relaxed

The structure belongs to space group P4/mmm (No. 123); the cell edges are 4.983, 4.983 and 3.623 Å and the angles 90.00°, 90.00° and 90.00°. The asymmetric unit holds Y at (0.000, 0.500, 0.000), Cd at (0.000, 0.000, 0.500) and Os at (0.500, 0.500, 0.500).

For the density, the calculation gives 8.87 Mg/m³. The value obtained for the total energy is -0.2363 Ha/atom. For the density of states at the Fermi level, the calculation gives 2.6 states/eV/cell. For the total moment, the calculation gives 0.00 μB/f.u.

Record 13
YCdOs2 | PBE | relaxed

The structure belongs to space group P2/m (No. 10); the cell edges are 2.878, 4.754 and 5.420 Å and the angles 90.00°, 95.91° and 90.00°. The asymmetric unit holds Y at (0.000, 0.000, 0.000), Cd at (0.500, 0.000, 0.500) and Os at (0.283, 0.500, 0.716).

For the density, the calculation gives 13.10 Mg/m³. The value obtained for the total energy is -0.2560 Ha/atom. For the density of states at the Fermi level, the calculation gives 4.6 states/eV/cell. For the total moment, the calculation gives 0.00 μB/f.u.

Record 14
Y2CdOs | PBE | relaxed

The structure belongs to space group I-42d (No. 122); the cell edges are 8.110, 8.110 and 6.128 Å and the angles 90.00°, 90.00° and 90.00°. The asymmetric unit holds Y at (0.199, 0.750, 0.125), Cd at (0.000, 0.000, 0.500) and Os at (0.000, 0.000, 0.000).

For the density, the calculation gives 7.92 Mg/m³. The value obtained for the total energy is -0.2228 Ha/atom. For the density of states at the Fermi level, the calculation gives 4.2 states/eV/cell. For the total moment, the calculation gives 0.00 μB/f.u.

Record 15
YCdOs2 | PBE | relaxed

The structure belongs to space group R-3m (No. 166, hexagonal axes); the cell edges are 3.0391, 3.0391 and 27.6220 Å and the angles 90.00°, 90.00° and 120.00°. The asymmetric unit holds Y at (0.0000, 0.0000, 0.0000), Cd at (0.0000, 0.0000, 0.5000) and Os at (0.0000, 0.0000, 0.2501).

For the density, the calculation gives 13.12 Mg/m³. The value obtained for the total energy is -0.2500 Ha/atom. For the density of states at the Fermi level, the calculation gives 12.2 states/eV/cell. For the total moment, the calculation gives 0.00 μB/f.u.

Record 16
Y2CdOs | PBE | relaxed

The structure belongs to space group C2/m (No. 12); the cell edges are 7.351, 3.478 and 8.357 Å and the angles 90.00°, 99.80° and 90.00°. The asymmetric unit holds Y at (0.242, 0.000, 0.199), Cd at (0.000, 0.000, 0.500) and Os at (0.000, 0.500, 0.000).

For the density, the calculation gives 7.58 Mg/m³. The value obtained for the total energy is -0.2305 Ha/atom. For the density of states at the Fermi level, the calculation gives 5.6 states/eV/cell. For the total moment, the calculation gives 0.00 μB/f.u.

Record 17
Y2CdOs | PBE | relaxed

The structure belongs to space group Cmmm (No. 65); the cell edges are 4.899, 4.908 and 7.741 Å and the angles 90.00°, 90.00° and 90.00°. The asymmetric unit holds Y at (0.000, 0.000, 0.214), Cd at (0.000, 0.500, 0.500) and Os at (0.000, 0.500, 0.000).

For the density, the calculation gives 8.57 Mg/m³. The value obtained for the total energy is -0.2412 Ha/atom. For the density of states at the Fermi level, the calculation gives 6.0 states/eV/cell. For the total moment, the calculation gives 0.00 μB/f.u.

Record 18
YCdOs2 | PBE | relaxed

The structure belongs to space group Pmmm (No. 47); the cell edges are 3.269, 4.573 and 4.880 Å and the angles 90.00°, 90.00° and 90.00°. The asymmetric unit holds Y at (0.000, 0.000, 0.000), Cd at (0.500, 0.000, 0.500), Os at (0.000, 0.500, 0.500) and Os at (0.500, 0.500, 0.000).

For the density, the calculation gives 13.24 Mg/m³. The value obtained for the total energy is -0.2563 Ha/atom. For the density of states at the Fermi level, the calculation gives 3.9 states/eV/cell. For the total moment, the calculation gives 0.00 μB/f.u.

Record 19
YCdOs2 | PBE | relaxed

The structure belongs to space group Cmmm (No. 65); the cell edges are 3.260, 4.781 and 9.280 Å and the angles 90.00°, 90.00° and 90.00°. The asymmetric unit holds Y at (0.000, 0.000, 0.000), Cd at (0.000, 0.000, 0.500) and Os at (0.000, 0.500, 0.249).

For the density, the calculation gives 13.36 Mg/m³. The value obtained for the total energy is -0.2524 Ha/atom. For the density of states at the Fermi level, the calculation gives 7.7 states/eV/cell. For the total moment, the calculation gives 0.00 μB/f.u.

Record 20
Y2CdOs | PBE | relaxed

The structure belongs to space group Imm2 (No. 44); the cell edges are 3.409, 4.889 and 11.603 Å and the angles 90.00°, 90.00° and 90.00°. The asymmetric unit holds Y at (0.000, 0.000, 0.000), Y at (0.000, 0.500, 0.201), Cd at (0.000, 0.500, 0.807) and Os at (0.000, 0.000, 0.504).

For the density, the calculation gives 8.25 Mg/m³. The value obtained for the total energy is -0.2330 Ha/atom. For the density of states at the Fermi level, the calculation gives 4.7 states/eV/cell. For the total moment, the calculation gives 0.00 μB/f.u.